Entry 1:
Computed, not measured: crystalline Be2AlBr at its relaxed geometry at the PBE level of DFT.

Unit cell a=3.0980 b=3.0979 c=7.1364 alpha=90.00 beta=90.00 gamma=90.00
Element x y z (fractional)
Be (0.0000, 0.0000, 0.0507)
Be (0.5000, 0.5000, 0.2016)
Al (0.5000, 0.5000, 0.8579)
Br (0.0000, 0.0000, 0.3899)

Properties
Symmetry ... P4mm
Volume ... 68 Å³/cell
Calculated density ... 3.0 g cm⁻³
Offset from the most stable computed form ... 356.2 meV per atom
Total moment ... 0.00 μB/f.u.

---

Entry 2:
Computed, not measured: crystalline BeAlBr2 at its relaxed geometry at the PBE level of DFT.

Unit cell a=3.4990 b=4.7449 c=7.0440 alpha=70.58 beta=90.00 gamma=90.00
Element x y z (fractional)
Br (0.0000, 0.9610, 0.8617)
Br (0.5000, 0.2284, 0.3842)
Be (0.5000, 0.8245, 0.6471)
Al (0.0000, 0.4861, 0.6069)

Properties
Symmetry ... Pm
Volume ... 110 Å³/cell
Calculated density ... 2.9 g cm⁻³
Offset from the most stable computed form ... 42.5 meV per atom
Total moment ... 0.00 μB/f.u.

---

Entry 3:
Computed, not measured: crystalline BeAlBr at its relaxed geometry at the PBE level of DFT.

Unit cell a=5.9244 b=5.9244 c=5.9244 alpha=146.75 beta=146.75 gamma=47.74
Element x y z (fractional)
Al (0.8867, 0.8867, 0.0000)
Be (0.4574, 0.4574, 0.0000)
Br (0.6559, 0.6559, 0.0000)

Properties
Symmetry ... I4mm
Volume ... 62 Å³/cell
Calculated density ... 3.1 g cm⁻³
Offset from the most stable computed form ... 260.5 meV per atom
Total moment ... 0.00 μB/f.u.

---

Entry 4:
Computed, not measured: crystalline BeAl2Br at its relaxed geometry at the PBE level of DFT.

Unit cell a=5.5134 b=5.5134 c=5.5134 alpha=147.40 beta=123.25 gamma=67.00
Element x y z (fractional)
Be (0.4963, 0.4963, 0.0000)
Br (0.3128, 0.8128, 0.5000)
Al (0.9851, 0.9851, 0.0000)
Al (0.7057, 0.2057, 0.5000)

Properties
Symmetry ... Imm2
Volume ... 75 Å³/cell
Calculated density ... 3.2 g cm⁻³
Offset from the most stable computed form ... 185.3 meV per atom
Total moment ... 0.00 μB/f.u.

---

Entry 5:
Computed, not measured: crystalline BeAlBr2 at its relaxed geometry at the PBE level of DFT.

Unit cell a=3.2165 b=3.2165 c=8.7921 alpha=90.00 beta=90.00 gamma=90.00
Element x y z (fractional)
Br (0.0000, 0.0000, 0.8942)
Br (0.5000, 0.5000, 0.3307)
Be (0.5000, 0.5000, 0.7470)
Al (0.0000, 0.0000, 0.5281)

Properties
Symmetry ... P4mm
Volume ... 91 Å³/cell
Calculated density ... 3.6 g cm⁻³
Offset from the most stable computed form ... 420.2 meV per atom
Total moment ... 0.00 μB/f.u.

---

Entry 6:
Computed, not measured: crystalline BeAlBr2 at its relaxed geometry at the PBE level of DFT.

Unit cell a=6.3911 b=6.3911 c=6.3911 alpha=149.78 beta=99.50 gamma=88.33
Element x y z (fractional)
Br (0.0968, 0.0968, 0.0000)
Br (0.6794, 0.1794, 0.5000)
Al (0.4663, 0.4663, 0.0000)
Be (0.2575, 0.7575, 0.5000)

Properties
Symmetry ... Imm2
Volume ... 126 Å³/cell
Calculated density ... 2.6 g cm⁻³
Offset from the most stable computed form ... 178.4 meV per atom
Total moment ... 0.00 μB/f.u.

---

Entry 7:
Computed, not measured: crystalline BeAlBr2 at its relaxed geometry at the PBE level of DFT.

Unit cell a=6.2749 b=8.2536 c=3.2754 alpha=113.29 beta=58.60 gamma=139.54
Element x y z (fractional)
Be (0.5000, 0.0000, 0.5000)
Al (0.5000, 0.5000, 0.0000)
Br (0.0000, 0.5000, 0.5000)
Br (0.0000, 0.0000, 0.0000)

Properties
Symmetry ... Cmmm
Volume ... 94 Å³/cell
Calculated density ... 3.5 g cm⁻³
Offset from the most stable computed form ... 638.1 meV per atom
Total moment ... 0.51 μB/f.u.

---

Entry 8:
Computed, not measured: crystalline BeAlBr2 at its relaxed geometry at the PBE level of DFT.

Unit cell a=3.2311 b=3.2311 c=8.9603 alpha=90.00 beta=90.00 gamma=90.00
Element x y z (fractional)
Br (0.0000, 0.0000, 0.9209)
Br (0.0000, 0.0000, 0.5791)
Be (0.5000, 0.5000, 0.7500)
Al (0.5000, 0.5000, 0.2500)

Properties
Symmetry ... P4/mmm
Volume ... 94 Å³/cell
Calculated density ... 3.5 g cm⁻³
Offset from the most stable computed form ... 717.3 meV per atom
Total moment ... 0.00 μB/f.u.

---

Entry 9:
Computed, not measured: crystalline BeAlBr2 at its relaxed geometry at the PBE level of DFT.

Unit cell a=3.7203 b=3.7203 c=9.3100 alpha=90.00 beta=90.00 gamma=126.76
Element x y z (fractional)
Al (0.0000, 0.0000, 0.5334)
Br (0.0000, 0.0000, 0.8976)
Br (0.5000, 0.5000, 0.3279)
Be (0.5000, 0.5000, 0.7410)

Properties
Symmetry ... Cmm2
Volume ... 103 Å³/cell
Calculated density ... 3.1 g cm⁻³
Offset from the most stable computed form ... 94.0 meV per atom
Total moment ... 0.00 μB/f.u.

---

Entry 10:
Computed, not measured: crystalline BeAl4Br at its relaxed geometry at the PBE level of DFT.

Unit cell a=5.4562 b=5.4562 c=5.4562 alpha=60.00 beta=60.00 gamma=60.00
Element x y z (fractional)
Al (0.3759, 0.8722, 0.3759)
Al (0.3759, 0.3759, 0.3759)
Al (0.8722, 0.3759, 0.3759)
Al (0.3759, 0.3759, 0.8722)
Be (0.7500, 0.7500, 0.7500)
Br (0.0000, 0.0000, 0.0000)

Properties
Symmetry ... F-43m
Volume ... 115 Å³/cell
VASP energy ... -0.1057 Ha/atom
Calculated density ... 2.8 g cm⁻³
Total moment ... 0.00 μB/f.u.

---

Entry 11:
Computed, not measured: crystalline Be2AlBr at its relaxed geometry at the PBE level of DFT.

Unit cell a=5.7178 b=5.7178 c=6.3340 alpha=63.17 beta=63.17 gamma=90.00
Element x y z (fractional)
Be (0.1198, 0.6250, 0.2500)
Be (0.8750, 0.8802, 0.7500)
Be (0.6302, 0.1250, 0.2500)
Be (0.3750, 0.3698, 0.7500)
Al (0.2500, 0.7500, 0.5000)
Al (0.5000, 0.5000, 0.0000)
Br (0.7500, 0.2500, 0.5000)
Br (0.0000, 0.0000, 0.0000)

Properties
Symmetry ... I-42d
Volume ... 159 Å³/cell
Calculated density ... 2.6 g cm⁻³
Offset from the most stable computed form ... 513.5 meV per atom
Total moment ... 0.00 μB/f.u.

---

Entry 12:
Computed, not measured: crystalline BeAl2Br at its relaxed geometry at the PBE level of DFT.

Unit cell a=4.7402 b=4.7402 c=4.7402 alpha=60.00 beta=60.00 gamma=60.00
Element x y z (fractional)
Al (0.2500, 0.2500, 0.2500)
Al (0.0000, 0.0000, 0.0000)
Be (0.5000, 0.5000, 0.5000)
Br (0.7500, 0.7500, 0.7500)

Properties
Symmetry ... F-43m
Volume ... 75 Å³/cell
Calculated density ... 3.2 g cm⁻³
Offset from the most stable computed form ... 586.1 meV per atom
Total moment ... 0.00 μB/f.u.

---

Question: What is the calculated density in the sixth record?
Answer: 2.6 g cm⁻³